1.
Here is crystalline SbMo2P at its relaxed geometry from Alexandria via LeMat-Bulk. Energies are from GGA-PBE.

Properties
raw formation energy = 0.148 eV/atom
relative energy among the computed polymorphs = 278 meV per atom
calculated total energy = -30.60 eV/cell
calculated volume = 17.24 Å³ per atom
symmetry = Immm

Geometry as CIF:
```
data_SbMo2P
_cell_length_a 4.993
_cell_length_b 4.993
_cell_length_c 4.993
_cell_angle_alpha 140.08
_cell_angle_beta 117.82
_cell_angle_gamma 76.49
_symmetry_space_group_name_H-M 'P 1'
_symmetry_Int_Tables_number 1
loop_
_symmetry_equiv_pos_as_xyz
'x,y,z'
loop_
_atom_site_label
_atom_site_type_symbol
_atom_site_fract_x
_atom_site_fract_y
_atom_site_fract_z
_atom_site_occupancy
Mo1 Mo 0.798 0.798 0.000 1
Mo2 Mo 0.202 0.202 0.000 1
P1 P 0.000 0.500 0.500 1
Sb1 Sb 0.500 0.000 0.500 1
```

2.
Here is crystalline AcPmNiAu at its relaxed geometry from Alexandria via LeMat-Bulk. Energies are from GGA-PBE.

Properties
energy of formation = -0.4149 eV/atom
calculated total energy = -19.58 eV/cell
calculated volume = 25.67 Å³ per atom
symmetry = F-43m

Geometry as CIF:
```
data_AcPmNiAu
_cell_length_a 5.256
_cell_length_b 5.256
_cell_length_c 5.256
_cell_angle_alpha 60.00
_cell_angle_beta 60.00
_cell_angle_gamma 60.00
_symmetry_space_group_name_H-M 'P 1'
_symmetry_Int_Tables_number 1
loop_
_symmetry_equiv_pos_as_xyz
'x,y,z'
loop_
_atom_site_label
_atom_site_type_symbol
_atom_site_fract_x
_atom_site_fract_y
_atom_site_fract_z
_atom_site_occupancy
Au1 Au 0.500 0.500 0.500 1
Ni1 Ni 0.000 0.000 0.000 1
Ac1 Ac 0.250 0.250 0.250 1
Pm1 Pm 0.750 0.750 0.750 1
```

3.
Here is crystalline RbAc3Pm2Te6 at its relaxed geometry from Alexandria via LeMat-Bulk. Energies are from GGA-PBE.

Properties
raw formation energy = -1.412 eV/atom
calculated total energy = -58.58 eV/cell
calculated volume = 36.60 Å³ per atom
symmetry = C2/m

Geometry as CIF:
```
data_RbAc3Pm2Te6
_cell_length_a 4.660
_cell_length_b 9.470
_cell_length_c 10.466
_cell_angle_alpha 102.42
_cell_angle_beta 102.86
_cell_angle_gamma 90.00
_symmetry_space_group_name_H-M 'P 1'
_symmetry_Int_Tables_number 1
loop_
_symmetry_equiv_pos_as_xyz
'x,y,z'
loop_
_atom_site_label
_atom_site_type_symbol
_atom_site_fract_x
_atom_site_fract_y
_atom_site_fract_z
_atom_site_occupancy
Rb1 Rb 0.500 0.000 0.000 1
Ac1 Ac 0.839 0.173 0.678 1
Ac2 Ac 0.500 0.500 0.000 1
Ac3 Ac 0.161 0.827 0.322 1
Te1 Te 0.668 0.578 0.337 1
Te2 Te 0.327 0.900 0.654 1
Te3 Te 0.332 0.422 0.663 1
Te4 Te 0.991 0.737 0.982 1
Te5 Te 0.673 0.100 0.346 1
Te6 Te 0.009 0.263 0.018 1
Pm1 Pm 0.172 0.350 0.343 1
Pm2 Pm 0.828 0.650 0.657 1
```

4.
Here is crystalline Na4B7C at its relaxed geometry from Alexandria via LeMat-Bulk. Energies are from GGA-PBE.

Properties
energy of formation = 0.2404 eV/atom
relative energy among the computed polymorphs = 18 meV per atom
calculated total energy = -116.71 eV/cell
calculated volume = 11.04 Å³ per atom
symmetry = Cm

Geometry as CIF:
```
data_Na4B7C
_cell_length_a 17.566
_cell_length_b 17.558
_cell_length_c 17.558
_cell_angle_alpha 170.54
_cell_angle_beta 162.68
_cell_angle_gamma 19.77
_symmetry_space_group_name_H-M 'P 1'
_symmetry_Int_Tables_number 1
loop_
_symmetry_equiv_pos_as_xyz
'x,y,z'
loop_
_atom_site_label
_atom_site_type_symbol
_atom_site_fract_x
_atom_site_fract_y
_atom_site_fract_z
_atom_site_occupancy
B1 B 0.724 0.063 0.661 1
B2 B 0.784 0.437 0.346 1
B3 B 0.323 0.687 0.635 1
B4 B 0.534 0.188 0.346 1
B5 B 0.473 0.812 0.661 1
B6 B 0.401 0.062 0.339 1
B7 B 0.573 0.937 0.635 1
B8 B 0.118 0.438 0.680 1
B9 B 0.868 0.187 0.680 1
B10 B 0.152 0.813 0.339 1
B11 B 0.901 0.563 0.339 1
B12 B 0.224 0.562 0.662 1
B13 B 0.974 0.313 0.662 1
B14 B 0.651 0.312 0.339 1
Na1 Na 0.124 0.124 0.999 1
Na2 Na 0.250 0.251 0.999 1
Na3 Na 0.500 0.501 0.999 1
Na4 Na 0.001 0.000 0.001 1
Na5 Na 0.751 0.750 0.001 1
Na6 Na 0.374 0.374 0.999 1
Na7 Na 0.876 0.875 0.001 1
Na8 Na 0.626 0.625 0.001 1
C1 C 0.275 0.938 0.337 1
C2 C 0.025 0.687 0.337 1
```

5.
Here is crystalline YBi at its relaxed geometry from Alexandria via LeMat-Bulk. Energies are from GGA-PBE.

Properties
energy of formation = -0.3285 eV/atom
calculated total energy = -66.01 eV/cell
calculated volume = 54.27 Å³ per atom
symmetry = Pm-3n

Geometry as CIF:
```
data_YBi
_cell_length_a 8.668
_cell_length_b 8.668
_cell_length_c 8.668
_cell_angle_alpha 90.00
_cell_angle_beta 90.00
_cell_angle_gamma 90.00
_symmetry_space_group_name_H-M 'P 1'
_symmetry_Int_Tables_number 1
loop_
_symmetry_equiv_pos_as_xyz
'x,y,z'
loop_
_atom_site_label
_atom_site_type_symbol
_atom_site_fract_x
_atom_site_fract_y
_atom_site_fract_z
_atom_site_occupancy
Y1 Y 0.250 0.000 0.500 1
Y2 Y 0.500 0.250 0.000 1
Y3 Y 0.500 0.750 0.000 1
Y4 Y 0.000 0.500 0.250 1
Y5 Y 0.750 0.000 0.500 1
Y6 Y 0.000 0.500 0.750 1
Bi1 Bi 0.750 0.500 0.000 1
Bi2 Bi 0.000 0.750 0.500 1
Bi3 Bi 0.500 0.000 0.750 1
Bi4 Bi 0.000 0.250 0.500 1
Bi5 Bi 0.250 0.500 0.000 1
Bi6 Bi 0.500 0.000 0.250 1
```

6.
Here is crystalline Th2MgC at its relaxed geometry from Alexandria via LeMat-Bulk. Energies are from GGA-PBE.

Properties
energy of formation = 0.1447 eV/atom
calculated total energy = -25.08 eV/cell
calculated volume = 24.73 Å³ per atom
symmetry = Amm2

Geometry as CIF:
```
data_Th2MgC
_cell_length_a 3.528
_cell_length_b 3.528
_cell_length_c 9.177
_cell_angle_alpha 90.00
_cell_angle_beta 90.00
_cell_angle_gamma 120.03
_symmetry_space_group_name_H-M 'P 1'
_symmetry_Int_Tables_number 1
loop_
_symmetry_equiv_pos_as_xyz
'x,y,z'
loop_
_atom_site_label
_atom_site_type_symbol
_atom_site_fract_x
_atom_site_fract_y
_atom_site_fract_z
_atom_site_occupancy
Mg1 Mg 0.799 0.201 0.000 1
Th1 Th 0.467 0.533 0.323 1
Th2 Th 0.467 0.533 0.677 1
C1 C 0.133 0.867 0.500 1
```

7.
Here is crystalline BeGa2ReOs at its relaxed geometry from Alexandria via LeMat-Bulk. Energies are from GGA-PBE.

Properties
energy of formation = 1.4738 eV/atom
calculated total energy = -26.09 eV/cell
calculated volume = 18.48 Å³ per atom
symmetry = P4/mmm

Geometry as CIF:
```
data_BeGa2ReOs
_cell_length_a 4.710
_cell_length_b 4.164
_cell_length_c 4.710
_cell_angle_alpha 90.00
_cell_angle_beta 90.00
_cell_angle_gamma 90.00
_symmetry_space_group_name_H-M 'P 1'
_symmetry_Int_Tables_number 1
loop_
_symmetry_equiv_pos_as_xyz
'x,y,z'
loop_
_atom_site_label
_atom_site_type_symbol
_atom_site_fract_x
_atom_site_fract_y
_atom_site_fract_z
_atom_site_occupancy
Ga1 Ga 0.500 0.000 0.000 1
Ga2 Ga 0.000 0.000 0.500 1
Os1 Os 0.500 0.500 0.500 1
Re1 Re 0.000 0.000 0.000 1
Be1 Be 0.000 0.500 0.000 1
```

8.
Here is crystalline Tl2CdSnO6 at its relaxed geometry from Alexandria via LeMat-Bulk. Energies are from GGA-PBE.

Properties
raw formation energy = -1.028 eV/atom
calculated total energy = -49.68 eV/cell
calculated volume = 14.24 Å³ per atom
symmetry = R3

Geometry as CIF:
```
data_Tl2CdSnO6
_cell_length_a 5.734
_cell_length_b 5.734
_cell_length_c 5.998
_cell_angle_alpha 61.44
_cell_angle_beta 61.44
_cell_angle_gamma 60.00
_symmetry_space_group_name_H-M 'P 1'
_symmetry_Int_Tables_number 1
loop_
_symmetry_equiv_pos_as_xyz
'x,y,z'
loop_
_atom_site_label
_atom_site_type_symbol
_atom_site_fract_x
_atom_site_fract_y
_atom_site_fract_z
_atom_site_occupancy
Tl1 Tl 0.533 0.533 0.402 1
Tl2 Tl 0.027 0.027 0.920 1
Sn1 Sn 0.316 0.316 0.051 1
Cd1 Cd 0.805 0.805 0.586 1
O1 O 0.413 0.690 0.769 1
O2 O 0.949 0.589 0.250 1
O3 O 0.589 0.212 0.250 1
O4 O 0.212 0.949 0.250 1
O5 O 0.690 0.128 0.769 1
O6 O 0.128 0.413 0.769 1
```

9.
Here is crystalline Pr3NdY4 at its relaxed geometry from Alexandria via LeMat-Bulk. Energies are from GGA-PBE.

Properties
energy of formation = 0.1282 eV/atom
relative energy among the computed polymorphs = 105 meV per atom
calculated total energy = -43.94 eV/cell
calculated volume = 34.36 Å³ per atom
symmetry = Immm

Geometry as CIF:
```
data_Pr3NdY4
_cell_length_a 3.491
_cell_length_b 9.074
_cell_length_c 9.074
_cell_angle_alpha 81.33
_cell_angle_beta 78.91
_cell_angle_gamma 78.91
_symmetry_space_group_name_H-M 'P 1'
_symmetry_Int_Tables_number 1
loop_
_symmetry_equiv_pos_as_xyz
'x,y,z'
loop_
_atom_site_label
_atom_site_type_symbol
_atom_site_fract_x
_atom_site_fract_y
_atom_site_fract_z
_atom_site_occupancy
Nd1 Nd 0.500 0.000 0.000 1
Pr1 Pr 0.241 0.759 0.759 1
Pr2 Pr 0.759 0.241 0.241 1
Pr3 Pr 0.000 0.500 0.500 1
Y1 Y 0.634 0.115 0.616 1
Y2 Y 0.366 0.885 0.384 1
Y3 Y 0.366 0.384 0.885 1
Y4 Y 0.634 0.616 0.115 1
```

10.
Here is crystalline BPRhCS at its relaxed geometry from Alexandria via LeMat-Bulk. Energies are from GGA-PBE.

Properties
raw formation energy = 0.025 eV/atom
relative energy among the computed polymorphs = 175 meV per atom
calculated total energy = -32.67 eV/cell
calculated volume = 12.63 Å³ per atom
symmetry = P1

Geometry as CIF:
```
data_BPRhCS
_cell_length_a 2.926
_cell_length_b 4.245
_cell_length_c 5.373
_cell_angle_alpha 85.72
_cell_angle_beta 87.83
_cell_angle_gamma 71.68
_symmetry_space_group_name_H-M 'P 1'
_symmetry_Int_Tables_number 1
loop_
_symmetry_equiv_pos_as_xyz
'x,y,z'
loop_
_atom_site_label
_atom_site_type_symbol
_atom_site_fract_x
_atom_site_fract_y
_atom_site_fract_z
_atom_site_occupancy
C1 C 0.433 0.465 0.735 1
B1 B 0.609 0.137 0.593 1
P1 P 0.818 0.704 0.790 1
Rh1 Rh 0.334 0.615 0.136 1
S1 S 0.136 0.116 0.358 1
```

11.
Here is crystalline La2Co3SiNi12 at its relaxed geometry from Alexandria via LeMat-Bulk. Energies are from GGA-PBE.

Properties
raw formation energy = 0.149 eV/atom
calculated total energy = -103.29 eV/cell
calculated volume = 14.59 Å³ per atom
symmetry = R-3m

Geometry as CIF:
```
data_La2Co3SiNi12
_cell_length_a 9.025
_cell_length_b 9.025
_cell_length_c 9.025
_cell_angle_alpha 39.07
_cell_angle_beta 39.07
_cell_angle_gamma 39.07
_symmetry_space_group_name_H-M 'P 1'
_symmetry_Int_Tables_number 1
loop_
_symmetry_equiv_pos_as_xyz
'x,y,z'
loop_
_atom_site_label
_atom_site_type_symbol
_atom_site_fract_x
_atom_site_fract_y
_atom_site_fract_z
_atom_site_occupancy
Co1 Co 0.500 0.000 0.000 1
Co2 Co 0.000 0.000 0.500 1
Co3 Co 0.000 0.500 0.000 1
Ni1 Ni 0.582 0.190 0.582 1
Ni2 Ni 0.418 0.418 0.810 1
Ni3 Ni 0.343 0.935 0.935 1
Ni4 Ni 0.582 0.582 0.190 1
Ni5 Ni 0.935 0.935 0.343 1
Ni6 Ni 0.810 0.418 0.418 1
Ni7 Ni 0.657 0.065 0.065 1
Ni8 Ni 0.065 0.657 0.065 1
Ni9 Ni 0.065 0.065 0.657 1
Ni10 Ni 0.935 0.343 0.935 1
Ni11 Ni 0.418 0.810 0.418 1
Ni12 Ni 0.190 0.582 0.582 1
Si1 Si 0.000 0.000 0.000 1
La1 La 0.343 0.343 0.343 1
La2 La 0.657 0.657 0.657 1
```

12.
Here is crystalline TaFeGe3 at its relaxed geometry from Alexandria via LeMat-Bulk. Energies are from GGA-PBE.

Properties
energy of formation = 0.8119 eV/atom
calculated total energy = -30.11 eV/cell
calculated volume = 18.83 Å³ per atom
symmetry = Pm-3m

Geometry as CIF:
```
data_TaFeGe3
_cell_length_a 4.549
_cell_length_b 4.549
_cell_length_c 4.549
_cell_angle_alpha 90.00
_cell_angle_beta 90.00
_cell_angle_gamma 90.00
_symmetry_space_group_name_H-M 'P 1'
_symmetry_Int_Tables_number 1
loop_
_symmetry_equiv_pos_as_xyz
'x,y,z'
loop_
_atom_site_label
_atom_site_type_symbol
_atom_site_fract_x
_atom_site_fract_y
_atom_site_fract_z
_atom_site_occupancy
Ta1 Ta 0.500 0.500 0.500 1
Ge1 Ge 0.000 0.000 0.500 1
Ge2 Ge 0.000 0.500 0.000 1
Ge3 Ge 0.500 0.000 0.000 1
Fe1 Fe 0.000 0.000 0.000 1
```